(one)
Computed, not measured: a relaxed PuAl2Hg crystal at the PBE-GGA level of DFT.

Geometry as CIF:
```
data_PuAl2Hg
_cell_length_a 4.4959
_cell_length_b 4.4959
_cell_length_c 4.2254
_cell_angle_alpha 90.00
_cell_angle_beta 90.00
_cell_angle_gamma 90.00
_symmetry_space_group_name_H-M 'P 4/m m m'
_symmetry_Int_Tables_number 123
_symmetry_space_group_name_Hall '-P 4 2'
loop_
_atom_site_label
_atom_site_type_symbol
_atom_site_fract_x
_atom_site_fract_y
_atom_site_fract_z
_atom_site_occupancy
Pu1 Pu 0.0000 0.0000 0.0000 1
Al1 Al 0.0000 0.5000 0.5000 1
Hg1 Hg 0.5000 0.5000 0.0000 1
```

***

(two)
Computed, not measured: a relaxed PuAl2Hg crystal at the PBE-GGA level of DFT.

Geometry as CIF:
```
data_PuAl2Hg
_cell_length_a 6.9537
_cell_length_b 6.9537
_cell_length_c 6.9537
_cell_angle_alpha 90.00
_cell_angle_beta 90.00
_cell_angle_gamma 90.00
_symmetry_space_group_name_H-M 'F m -3 m'
_symmetry_Int_Tables_number 225
_symmetry_space_group_name_Hall '-F 4 2 3'
loop_
_atom_site_label
_atom_site_type_symbol
_atom_site_fract_x
_atom_site_fract_y
_atom_site_fract_z
_atom_site_occupancy
Pu1 Pu 0.0000 0.0000 0.0000 1
Al1 Al 0.2500 0.2500 0.2500 1
Hg1 Hg 0.0000 0.0000 0.5000 1
```

***

Order from most stable to least stable according to the calculation: (one), (two)

***

(one)
Computed, not measured: a relaxed PuAlHg crystal at the PBE-GGA level of DFT.

Geometry as CIF:
```
data_PuAlHg
_cell_length_a 4.9465
_cell_length_b 4.9465
_cell_length_c 3.1449
_cell_angle_alpha 90.00
_cell_angle_beta 90.00
_cell_angle_gamma 120.00
_symmetry_space_group_name_H-M 'P -6 m 2'
_symmetry_Int_Tables_number 187
_symmetry_space_group_name_Hall 'P -6 2'
loop_
_atom_site_label
_atom_site_type_symbol
_atom_site_fract_x
_atom_site_fract_y
_atom_site_fract_z
_atom_site_occupancy
Pu1 Pu 0.0000 0.0000 0.0000 1
Al1 Al 0.3333 0.6667 0.5000 1
Hg1 Hg 0.6667 0.3333 0.5000 1
```

***

(two)
Computed, not measured: a relaxed PuAlHg crystal at the PBE-GGA level of DFT.

Geometry as CIF:
```
data_PuAlHg
_cell_length_a 3.1768
_cell_length_b 3.1768
_cell_length_c 13.1169
_cell_angle_alpha 90.00
_cell_angle_beta 90.00
_cell_angle_gamma 90.00
_symmetry_space_group_name_H-M 'I 4 m m'
_symmetry_Int_Tables_number 107
_symmetry_space_group_name_Hall 'I 4 -2'
loop_
_atom_site_label
_atom_site_type_symbol
_atom_site_fract_x
_atom_site_fract_y
_atom_site_fract_z
_atom_site_occupancy
Pu1 Pu 0.0000 0.0000 0.0000 1
Al1 Al 0.0000 0.0000 0.3342 1
Hg1 Hg 0.0000 0.0000 0.6849 1
```

***

Order from most stable to least stable according to the calculation: (one), (two)

***

(one)
Computed, not measured: a relaxed Rb2Al2Hg crystal at the PBE-GGA level of DFT.

Geometry as CIF:
```
data_Rb2Al2Hg
_cell_length_a 7.3881
_cell_length_b 7.3881
_cell_length_c 6.1136
_cell_angle_alpha 90.00
_cell_angle_beta 90.00
_cell_angle_gamma 90.00
_symmetry_space_group_name_H-M 'P 4/m b m'
_symmetry_Int_Tables_number 127
_symmetry_space_group_name_Hall '-P 4 2ab'
loop_
_atom_site_label
_atom_site_type_symbol
_atom_site_fract_x
_atom_site_fract_y
_atom_site_fract_z
_atom_site_occupancy
Rb1 Rb 0.1845 0.3155 0.0000 1
Al1 Al 0.1266 0.6266 0.5000 1
Hg1 Hg 0.0000 0.0000 0.5000 1
```

***

(two)
Computed, not measured: a relaxed Rb2Al2Hg crystal at the PBE-GGA level of DFT.

Geometry as CIF:
```
data_Rb2Al2Hg
_cell_length_a 7.3522
_cell_length_b 7.3522
_cell_length_c 7.5838
_cell_angle_alpha 90.00
_cell_angle_beta 90.00
_cell_angle_gamma 90.00
_symmetry_space_group_name_H-M 'I 4/m m m'
_symmetry_Int_Tables_number 139
_symmetry_space_group_name_Hall '-I 4 2'
loop_
_atom_site_label
_atom_site_type_symbol
_atom_site_fract_x
_atom_site_fract_y
_atom_site_fract_z
_atom_site_occupancy
Rb1 Rb 0.0000 0.5000 0.2500 1
Al1 Al 0.0000 0.0000 0.1582 1
Hg1 Hg 0.0000 0.0000 0.5000 1
```

***

(three)
Computed, not measured: a relaxed Rb2Al2Hg crystal at the PBE-GGA level of DFT.

Geometry as CIF:
```
data_Rb2Al2Hg
_cell_length_a 10.9671
_cell_length_b 10.9671
_cell_length_c 3.3882
_cell_angle_alpha 90.00
_cell_angle_beta 90.00
_cell_angle_gamma 90.00
_symmetry_space_group_name_H-M 'P 4/m b m'
_symmetry_Int_Tables_number 127
_symmetry_space_group_name_Hall '-P 4 2ab'
loop_
_atom_site_label
_atom_site_type_symbol
_atom_site_fract_x
_atom_site_fract_y
_atom_site_fract_z
_atom_site_occupancy
Rb1 Rb 0.2038 0.2962 0.0000 1
Al1 Al 0.0816 0.5816 0.5000 1
Hg1 Hg 0.0000 0.0000 0.0000 1
```

***

Order from most stable to least stable according to the calculation: (one), (two), (three)

***

(one)
Computed, not measured: a relaxed RbAlHg3 crystal at the PBE-GGA level of DFT.

Geometry as CIF:
```
data_RbAlHg3
_cell_length_a 5.4243
_cell_length_b 5.4243
_cell_length_c 5.4243
_cell_angle_alpha 90.00
_cell_angle_beta 90.00
_cell_angle_gamma 90.00
_symmetry_space_group_name_H-M 'P m -3 m'
_symmetry_Int_Tables_number 221
_symmetry_space_group_name_Hall '-P 4 2 3'
loop_
_atom_site_label
_atom_site_type_symbol
_atom_site_fract_x
_atom_site_fract_y
_atom_site_fract_z
_atom_site_occupancy
Rb1 Rb 0.0000 0.0000 0.0000 1
Al1 Al 0.5000 0.5000 0.5000 1
Hg1 Hg 0.0000 0.5000 0.5000 1
```

***

(two)
Computed, not measured: a relaxed RbAlHg3 crystal at the PBE-GGA level of DFT.

Geometry as CIF:
```
data_RbAlHg3
_cell_length_a 6.4716
_cell_length_b 6.4716
_cell_length_c 6.4716
_cell_angle_alpha 90.00
_cell_angle_beta 90.00
_cell_angle_gamma 90.00
_symmetry_space_group_name_H-M 'P m -3 m'
_symmetry_Int_Tables_number 221
_symmetry_space_group_name_Hall '-P 4 2 3'
loop_
_atom_site_label
_atom_site_type_symbol
_atom_site_fract_x
_atom_site_fract_y
_atom_site_fract_z
_atom_site_occupancy
Rb1 Rb 0.0000 0.0000 0.0000 1
Al1 Al 0.5000 0.5000 0.5000 1
Hg1 Hg 0.0000 0.0000 0.5000 1
```

***

Order from most stable to least stable according to the calculation: (one), (two)

***

(one)
Computed, not measured: a relaxed Al2ReHgW crystal at the PBE-GGA level of DFT.

Geometry as CIF:
```
data_Al2ReHgW
_cell_length_a 4.5992
_cell_length_b 4.5992
_cell_length_c 5.1110
_cell_angle_alpha 90.00
_cell_angle_beta 90.00
_cell_angle_gamma 90.00
_symmetry_space_group_name_H-M 'P 4/m m m'
_symmetry_Int_Tables_number 123
_symmetry_space_group_name_Hall '-P 4 2'
loop_
_atom_site_label
_atom_site_type_symbol
_atom_site_fract_x
_atom_site_fract_y
_atom_site_fract_z
_atom_site_occupancy
Al1 Al 0.0000 0.5000 0.0000 1
Re1 Re 0.0000 0.0000 0.5000 1
Hg1 Hg 0.0000 0.0000 0.0000 1
W1 W 0.5000 0.5000 0.5000 1
```

***

(two)
Computed, not measured: a relaxed Al2ReHgW crystal at the PBE-GGA level of DFT.

Geometry as CIF:
```
data_Al2ReHgW
_cell_length_a 4.8140
_cell_length_b 4.8140
_cell_length_c 4.8694
_cell_angle_alpha 90.00
_cell_angle_beta 90.00
_cell_angle_gamma 90.00
_symmetry_space_group_name_H-M 'P 4/m m m'
_symmetry_Int_Tables_number 123
_symmetry_space_group_name_Hall '-P 4 2'
loop_
_atom_site_label
_atom_site_type_symbol
_atom_site_fract_x
_atom_site_fract_y
_atom_site_fract_z
_atom_site_occupancy
Al1 Al 0.0000 0.5000 0.0000 1
Re1 Re 0.0000 0.0000 0.0000 1
Hg1 Hg 0.5000 0.5000 0.5000 1
W1 W 0.0000 0.0000 0.5000 1
```

***

Order from most stable to least stable according to the calculation: (two), (one)

***

(one)
Computed, not measured: a relaxed AlHg3Rh crystal at the PBE-GGA level of DFT.

Geometry as CIF:
```
data_AlHg3Rh
_cell_length_a 5.0570
_cell_length_b 5.0570
_cell_length_c 5.0570
_cell_angle_alpha 90.00
_cell_angle_beta 90.00
_cell_angle_gamma 90.00
_symmetry_space_group_name_H-M 'P m -3 m'
_symmetry_Int_Tables_number 221
_symmetry_space_group_name_Hall '-P 4 2 3'
loop_
_atom_site_label
_atom_site_type_symbol
_atom_site_fract_x
_atom_site_fract_y
_atom_site_fract_z
_atom_site_occupancy
Al1 Al 0.0000 0.0000 0.0000 1
Hg1 Hg 0.0000 0.0000 0.5000 1
Rh1 Rh 0.5000 0.5000 0.5000 1
```

***

(two)
Computed, not measured: a relaxed AlHg3Rh crystal at the PBE-GGA level of DFT.

Geometry as CIF:
```
data_AlHg3Rh
_cell_length_a 5.2301
_cell_length_b 5.2301
_cell_length_c 5.2301
_cell_angle_alpha 90.00
_cell_angle_beta 90.00
_cell_angle_gamma 90.00
_symmetry_space_group_name_H-M 'P m -3 m'
_symmetry_Int_Tables_number 221
_symmetry_space_group_name_Hall '-P 4 2 3'
loop_
_atom_site_label
_atom_site_type_symbol
_atom_site_fract_x
_atom_site_fract_y
_atom_site_fract_z
_atom_site_occupancy
Al1 Al 0.0000 0.0000 0.0000 1
Hg1 Hg 0.0000 0.5000 0.5000 1
Rh1 Rh 0.5000 0.5000 0.5000 1
```

***

Order from most stable to least stable according to the calculation: (two), (one)